Entry 1:
The following is a DFT calculation (meta-GGA SCAN) of a PBEsol-optimized structure of NdAu3.

Cell: 4.7730 6.3128 6.3128 Å, 120.00 90.00 90.00°
With the nearest neighbours (Å) after each atom.
Atoms (fractional coordinates):
Au (0.2500, 0.1547, 0.3095)  6 Au 2.93, 4 Nd 3.08-3.16
Au (0.2500, 0.1547, 0.8453)  6 Au 2.93, 4 Nd 3.08-3.16
Au (0.2500, 0.6905, 0.8453)  6 Au 2.93, 4 Nd 3.08-3.16
Au (0.7500, 0.3095, 0.1547)  6 Au 2.93, 4 Nd 3.08-3.16
Au (0.7500, 0.8453, 0.1547)  6 Au 2.93, 4 Nd 3.08-3.16
Au (0.7500, 0.8453, 0.6905)  6 Au 2.93, 4 Nd 3.08-3.16
Nd (0.7500, 0.3333, 0.6667)  12 Au 3.08-3.16
Nd (0.2500, 0.6667, 0.3333)  12 Au 3.08-3.16

Values from the calculation:
DFT formation energy (eV/atom): -0.81
Space group: P6_3/mmc (194)

Entry 2:
The following is a DFT calculation (meta-GGA SCAN) of a PBEsol-optimized structure of BaCaCu2Ge.

Cell: 4.7139 4.7139 5.8484 Å, 90.00 90.00 90.00°
With the nearest neighbours (Å) after each atom.
Atoms (fractional coordinates):
Cu (0.5000, 0.0000, 0.0000)  2 Ge 2.36
Cu (0.0000, 0.5000, 0.0000)  2 Ge 2.36
Ca (0.5000, 0.5000, 0.5000)  4 Ba 3.33
Ba (0.0000, 0.0000, 0.5000)  2 Ge 2.92
Ge (0.0000, 0.0000, 0.0000)  4 Cu 2.36

Values from the calculation:
DFT formation energy (eV/atom): 0.38
Space group: P4/mmm (123)

Entry 3:
The following is a DFT calculation (meta-GGA SCAN) of a PBEsol-optimized structure of AgRhSeBr2.

Cell: 4.5940 5.1428 5.1428 Å, 90.00 90.00 90.00°
With the nearest neighbours (Å) after each atom.
Atoms (fractional coordinates):
Rh (0.0000, 0.0000, 0.0000)  2 Se 2.30, 4 Br 2.57
Br (0.0000, 0.0000, 0.5000)  2 Rh 2.57
Br (0.0000, 0.5000, 0.0000)  2 Rh 2.57
Ag (0.5000, 0.5000, 0.5000)  8 Br 3.45, 4 Se 3.64
Se (0.5000, 0.0000, 0.0000)  2 Rh 2.30

Values from the calculation:
Formation energy without anion corrections (eV per formula unit): 0.6
Space group: P4/mmm (123)

Entry 4:
The following is a DFT calculation (meta-GGA SCAN) of a PBEsol-optimized structure of InTcIr2.

Cell: 2.8115 2.8115 7.7007 Å, 90.00 90.00 90.00°
With the nearest neighbours (Å) after each atom.
Atoms (fractional coordinates):
In (0.5000, 0.5000, 0.5000)  4 In 2.81, 8 Ir 2.88
Ir (0.0000, 0.0000, 0.7704)  4 Tc 2.66, 4 Ir 2.81, 4 In 2.88
Ir (0.0000, 0.0000, 0.2296)  4 Tc 2.66, 4 Ir 2.81, 4 In 2.88
Tc (0.5000, 0.5000, 0.0000)  8 Ir 2.66, 4 Tc 2.81

Values from the calculation:
DFT formation energy (eV/atom): -0.15
Space group: P4/mmm (123)

| no. | total magnetic moment (μB per atom) | V (Å³/cell) |
| --- | --- | --- |
| 1 | 0.00 | 164.7 |
| 2 | 0.00 | 130.0 |
| 3 | 0.00 | 121.5 |
| 4 | 0.00 | 60.9 |